[1]
Below is crystalline Li2USe4 at its relaxed geometry, with properties calculated at the PBE-GGA level.

Structure (extended XYZ):
```
14
Lattice="-4.1094 -0.7485 -5.9606 0.0608 -6.4826 3.3087 -2.4382 4.8063 4.8919" Properties=species:S:1:pos:R:3 pbc="T T T"
Li -4.6474 1.0506 -2.9073
Li -3.8280 -0.2874 1.1396
Li -3.4763 -2.4609 4.8801
Li -1.0220 -3.1518 1.3676
U 0.0000 0.0000 0.0000
U -3.6612 -2.6011 -1.5931
Se -1.3620 -3.8524 3.8224
Se -3.7527 -3.1011 1.1115
Se -1.9452 -0.5677 5.7192
Se -3.1129 2.3679 3.8094
Se -4.8766 -0.5661 3.4752
Se -5.0724 2.1255 0.7469
Se -2.7864 -0.0215 -1.2007
Se -1.3677 -0.5288 2.3287
```

Output
The value obtained for the total energy is -5.162 eV/atom. The energy relative to the lowest polymorph listed for this composition is 0.10 eV per formula unit. Its space group is No. 122. As for the crystal system: tetragonal. For the uncorrected formation energy, the calculation gives -1.01 eV/atom.

[2]
Below is crystalline Li2U3Se8 at its relaxed geometry, with properties calculated at the PBE-GGA level.

Structure (extended XYZ):
```
13
Lattice="-4.0812 3.8270 4.3880 -1.5467 -6.8853 4.5664 6.0658 4.9885 1.8402" Properties=species:S:1:pos:R:3 pbc="T T T"
Li -1.1122 0.7389 8.4735
Li 1.5501 1.1912 2.3211
U -2.0406 1.9135 2.1940
U -0.3960 -1.7629 1.1692
U -1.1507 -5.1224 3.3972
Se 3.4985 1.7848 3.8762
Se -3.0607 0.1453 6.9184
Se 2.6399 -1.5790 6.2494
Se -2.2020 3.5091 4.5451
Se -1.3131 -3.7594 5.7811
Se -0.4817 -0.0584 3.3265
Se 0.9196 1.9885 7.4681
Se 1.7510 5.6895 5.0135
```

Output
The value obtained for the total energy is -6.125 eV/atom. Its space group is No. 12. As for the crystal system: monoclinic. For the uncorrected formation energy, the calculation gives -1.08 eV/atom.

[3]
Below is crystalline LiU4Se8 at its relaxed geometry, with properties calculated at the PBE-GGA level.

Structure (extended XYZ):
```
13
Lattice="6.3068 0.0000 3.3304 3.1534 6.6774 1.6652 0.0354 0.0000 7.5699" Properties=species:S:1:pos:R:3 pbc="T T T"
Li 0.0000 0.0000 0.0000
U 1.5767 3.3387 0.8326
U 4.7301 3.3387 2.4978
U 3.1711 0.0000 5.4502
U 0.0177 0.0000 3.7850
Se 4.0194 4.8986 7.6621
Se 5.4762 1.7788 4.9034
Se 2.3228 4.8986 3.2382
Se 0.8660 1.7788 5.9969
Se 2.4069 1.5987 3.0789
Se 7.0887 5.0787 9.4866
Se 3.9353 1.5987 7.8214
Se 5.5603 5.0787 4.7441
```

Output
The value obtained for the total energy is -6.719 eV/atom. Its space group is No. 139. As for the crystal system: tetragonal. For the uncorrected formation energy, the calculation gives -0.95 eV/atom.

[4]
Below is crystalline Li3U3VSe8 at its relaxed geometry, with properties calculated at the PBE-GGA level.

Structure (extended XYZ):
```
15
Lattice="-4.4888 -3.2775 -5.6017 -1.4808 -1.4769 7.6092 -1.5837 7.2766 -2.9883" Properties=species:S:1:pos:R:3 pbc="T T T"
Li 0.0000 0.0000 0.0000
Li -0.7404 -0.7385 3.8046
Li -2.9848 -2.3772 1.0037
U -3.0363 1.9995 -4.2950
U -3.7767 1.2611 -0.4904
U -1.5323 2.8998 2.3104
V -0.7918 3.6383 -1.4942
Se -2.1995 0.1861 1.6538
Se -5.3538 2.3360 -2.6347
Se -4.6128 -1.4028 -1.0409
Se -2.9405 3.9249 0.0601
Se -5.3066 -2.0945 2.5230
Se -2.2468 4.6167 -3.5039
Se -2.9200 -0.3520 5.5012
Se -4.6333 2.8742 -6.4820
```

Output
The value obtained for the total energy is -6.228 eV/atom. Its space group is No. 166. As for the crystal system: trigonal. For the uncorrected formation energy, the calculation gives -1.12 eV/atom.

[5]
Below is crystalline Li3UV2Se6 at its relaxed geometry, with properties calculated at the PBE-GGA level.

Structure (extended XYZ):
```
12
Lattice="-5.1801 4.0472 -0.4066 -0.8890 -6.3352 1.5662 2.6839 2.2248 5.8710" Properties=species:S:1:pos:R:3 pbc="T T T"
Li -0.2407 -3.5445 4.1827
Li -3.1444 3.4813 2.8478
Li -1.6926 -0.0316 3.5153
U 0.0000 0.0000 0.0000
V -2.3180 -2.8776 0.9092
V -3.7510 0.5896 0.2504
Se -3.2250 1.8415 4.9781
Se -3.7562 -1.1250 2.2497
Se -0.1601 -1.9047 2.0525
Se -1.6987 -1.8514 5.6797
Se 0.3711 1.0617 4.7808
Se -1.6864 1.7882 1.3508
```

Output
The value obtained for the total energy is -5.728 eV/atom. Its space group is No. 12. As for the crystal system: monoclinic. For the uncorrected formation energy, the calculation gives -1.05 eV/atom.

[6]
Below is crystalline Li2UV2Se6 at its relaxed geometry, with properties calculated at the PBE-GGA level.

Structure (extended XYZ):
```
11
Lattice="6.4846 -0.0061 0.1018 -3.2104 5.6342 0.1018 -1.1133 -1.9137 6.4663" Properties=species:S:1:pos:R:3 pbc="T T T"
Li 4.8624 0.9376 0.1018
Li -1.5882 4.6904 0.1018
U -0.5567 -0.9568 3.2331
V -0.4239 2.7324 3.3349
V 2.5848 0.9820 3.3349
Se 1.5374 2.6426 4.9822
Se -1.7526 1.0048 4.7715
Se 0.6235 1.0717 1.6876
Se 1.7397 -1.0270 4.7715
Se 3.9135 2.7096 1.8984
Se 0.4212 4.7413 1.8984
```

Output
The value obtained for the total energy is -5.935 eV/atom. Its space group is No. 12. As for the crystal system: monoclinic. For the uncorrected formation energy, the calculation gives -1.00 eV/atom.

[7]
Below is crystalline Li4U3VSe8 at its relaxed geometry, with properties calculated at the PBE-GGA level.

Structure (extended XYZ):
```
16
Lattice="7.8812 0.0000 0.0000 0.0000 8.0150 0.0877 -3.9406 -3.9367 5.5756" Properties=species:S:1:pos:R:3 pbc="T T T"
Li 3.9406 0.0000 0.0000
Li 1.9703 -1.9683 2.7878
Li 0.0000 0.0000 0.0000
Li -1.9703 -1.9683 2.7878
U 3.9406 4.0075 0.0438
U 1.9703 2.0392 2.8316
U -1.9703 2.0392 2.8316
V 0.0000 4.0075 0.0438
Se 1.8671 5.9783 0.1158
Se 0.0000 4.1131 2.7579
Se 0.0000 -0.0504 2.7489
Se 6.0141 5.9783 0.1158
Se -2.0735 -1.9000 5.5475
Se 3.9406 4.1287 2.9144
Se 3.9406 -0.0348 2.9054
Se 2.0735 -1.9000 5.5475
```

Output
The value obtained for the total energy is -6.028 eV/atom. Its space group is No. 166. As for the crystal system: trigonal. For the uncorrected formation energy, the calculation gives -1.12 eV/atom.

[8]
Below is crystalline LiY2USe6 at its relaxed geometry, with properties calculated at the PBE-GGA level.

Structure (extended XYZ):
```
10
Lattice="-6.9921 -0.7970 -0.9247 -2.7315 -6.4735 -1.0072 -4.0032 -3.0873 5.6886" Properties=species:S:1:pos:R:3 pbc="T T T"
Li -10.1469 -7.6389 1.5793
Y -6.8190 -5.1403 1.5105
Y -3.9778 -3.0651 5.4779
U -3.2583 -2.4385 -0.5010
Se -5.7323 -2.6328 0.7060
Se -5.0793 -7.0570 0.3207
Se -9.2240 -5.3637 -0.0001
Se -7.9120 -7.2993 3.1691
Se -8.3253 -3.6061 3.5065
Se -4.9299 -5.1339 3.7550
```

Output
The value obtained for the total energy is -6.175 eV/atom. Its space group is No. 146. As for the crystal system: trigonal. For the uncorrected formation energy, the calculation gives -1.47 eV/atom.

[9]
Below is crystalline Li2YUSe4 at its relaxed geometry, with properties calculated at the PBE-GGA level.

Structure (extended XYZ):
```
8
Lattice="4.0553 0.0000 0.0000 0.0000 7.0432 0.1219 0.0000 -2.4558 6.5013" Properties=species:S:1:pos:R:3 pbc="T T T"
Li 2.0276 -1.2279 3.2507
Li 0.0000 2.2937 3.3116
Y 0.0000 0.0000 0.0000
U 2.0276 3.5216 0.0610
Se 2.0276 1.1411 1.6965
Se 2.0276 3.4463 4.9267
Se 0.0000 -0.0909 4.8538
Se 0.0000 4.6783 1.7695
```

Output
The value obtained for the total energy is -5.863 eV/atom. Its space group is No. 10. As for the crystal system: monoclinic. For the uncorrected formation energy, the calculation gives -1.42 eV/atom.

[10]
Below is crystalline LiY2USe4 at its relaxed geometry, with properties calculated at the PBE-GGA level.

Structure (extended XYZ):
```
8
Lattice="4.0354 0.0000 0.0000 0.0000 7.0702 0.1457 0.0000 -2.4481 6.6028" Properties=species:S:1:pos:R:3 pbc="T T T"
Li 2.0177 3.5351 0.0729
Y 2.0177 -1.2241 3.3014
Y 0.0000 2.3110 3.3742
U 0.0000 0.0000 0.0000
Se 2.0177 1.2128 1.6696
Se 2.0177 3.4093 5.0789
Se 0.0000 -0.0281 5.0296
Se 0.0000 4.6502 1.7189
```

Output
The value obtained for the total energy is -6.527 eV/atom. Its space group is No. 10. As for the crystal system: monoclinic. For the uncorrected formation energy, the calculation gives -1.52 eV/atom.

[11]
Below is crystalline LiYUSe3 at its relaxed geometry, with properties calculated at the PBE-GGA level.

Structure (extended XYZ):
```
12
Lattice="3.9206 0.0000 0.0000 0.0000 8.4758 0.0944 0.0000 -2.1382 8.5252" Properties=species:S:1:pos:R:3 pbc="T T T"
Li 0.9801 -0.5099 4.9521
Li 2.9404 6.8474 3.6675
Y 0.9801 5.2776 1.4598
Y 2.9404 1.0599 7.1598
U 0.9801 1.0428 1.8304
U 2.9404 5.2948 6.7892
Se 2.9404 7.3775 1.2377
Se 0.9801 -1.0399 7.3819
Se 0.9801 5.4976 4.4225
Se 2.9404 0.8400 4.1971
Se 2.9404 3.2224 1.5352
Se 0.9801 3.1151 7.0844
```

Output
The value obtained for the total energy is -6.348 eV/atom. Its space group is No. 11. As for the crystal system: monoclinic. For the uncorrected formation energy, the calculation gives -1.33 eV/atom.

[12]
Below is crystalline LiYUSe4 at its relaxed geometry, with properties calculated at the PBE-GGA level.

Structure (extended XYZ):
```
14
Lattice="8.2387 0.0000 0.0000 4.1193 7.1813 0.0714 4.1193 2.2557 6.8182" Properties=species:S:1:pos:R:3 pbc="T T T"
Li 8.2387 4.7179 0.8587
Li 8.2387 4.7191 6.0309
Y 6.1790 1.1279 3.4091
Y 2.0597 1.1279 3.4091
U 0.0000 0.0000 0.0000
U 4.1193 4.7185 3.4448
Se 12.3580 7.0506 5.0390
Se 8.2387 7.2081 5.1540
Se 8.2387 2.2289 1.7355
Se 4.1193 2.3864 1.8505
Se 6.0646 5.9831 1.7823
Se 10.4127 5.9831 1.7823
Se 6.0647 3.4539 5.1072
Se 10.4127 3.4539 5.1072
```

Output
The value obtained for the total energy is -6.247 eV/atom. Its space group is No. 74. As for the crystal system: orthorhombic. For the uncorrected formation energy, the calculation gives -1.45 eV/atom.